Record 1
AlSiBr2 | GGA-PBE | optimized geometry

Unit cell a=6.991 b=6.991 c=6.991 alpha=146.40 beta=146.40 gamma=48.25
Fractional positions:
Al1 0.000 0.000 0.000
Si1 0.750 0.250 0.500
Br1 0.250 0.750 0.500
Br2 0.500 0.500 0.000

Computed properties:
N(E_F) = 0.39 states/eV/atom
Raw formation energy = 317 meV/atom



Record 2
Bi6IrAu | GGA-PBE | optimized geometry

Unit cell a=6.793 b=6.793 c=6.793 alpha=61.96 beta=61.96 gamma=61.96
Fractional positions:
Bi1 0.051 0.726 0.471
Bi2 0.274 0.529 0.949
Bi3 0.471 0.051 0.726
Bi4 0.529 0.949 0.274
Bi5 0.726 0.471 0.051
Bi6 0.949 0.274 0.529
Ir1 0.500 0.500 0.500
Au1 0.000 0.000 0.000

Computed properties:
N(E_F) = 0.46 states/eV/atom
Energy of formation = 0.04 eV per atom



Record 3
CaSbTe2N | GGA-PBE | optimized geometry

Unit cell a=5.886 b=5.886 c=4.030 alpha=90.00 beta=90.00 gamma=90.00
Fractional positions:
Ca1 0.000 0.000 0.000
Sb1 0.500 0.500 0.500
Te1 0.000 0.500 0.500
Te2 0.500 0.000 0.500
N1 0.500 0.500 0.000

Computed properties:
N(E_F) = 0.85 states/eV/atom
Raw formation energy = 109 meV/atom



Record 4
YIrPt2 | GGA-PBE | optimized geometry

Unit cell a=9.608 b=9.608 c=9.608 alpha=17.49 beta=17.49 gamma=17.49
Fractional positions:
Y1 0.000 0.000 0.000
Ir1 0.500 0.500 0.500
Pt1 0.245 0.245 0.245
Pt2 0.755 0.755 0.755

Computed properties:
N(E_F) = 1.15 states/eV/atom
Energy of formation = 0.04 eV per atom



Record 5
KI2O6 | GGA-PBE | optimized geometry

Unit cell a=5.732 b=5.388 c=13.121 alpha=90.00 beta=96.90 gamma=90.00
Fractional positions:
K1 0.000 0.000 0.000
K2 0.000 0.500 0.500
I1 0.249 0.185 0.756
I2 0.249 0.315 0.256
I3 0.751 0.685 0.744
I4 0.751 0.815 0.244
O1 0.033 0.663 0.300
O2 0.033 0.837 0.800
O3 0.272 0.220 0.388
O4 0.272 0.280 0.888
O5 0.441 0.086 0.197
O6 0.441 0.414 0.697
O7 0.559 0.586 0.303
O8 0.559 0.914 0.803
O9 0.728 0.720 0.112
O10 0.728 0.780 0.612
O11 0.967 0.163 0.200
O12 0.967 0.337 0.700

Computed properties:
N(E_F) = 0.30 states/eV/atom
Raw formation energy = -485 meV/atom



Record 6
SrGa4Cu2Ir | GGA-PBE | optimized geometry

Unit cell a=9.858 b=9.858 c=9.858 alpha=24.73 beta=24.73 gamma=24.73
Fractional positions:
Sr1 0.000 0.000 0.000
Ga1 0.132 0.132 0.132
Ga2 0.407 0.407 0.407
Ga3 0.593 0.593 0.593
Ga4 0.868 0.868 0.868
Cu1 0.228 0.228 0.228
Cu2 0.772 0.772 0.772
Ir1 0.500 0.500 0.500

Computed properties:
N(E_F) = 0.39 states/eV/atom
Energy of formation = -0.29 eV per atom



Record 7
SmHfZrN3 | GGA-PBE | optimized geometry

Unit cell a=5.692 b=3.343 c=8.704 alpha=90.00 beta=102.58 gamma=90.00
Fractional positions:
Sm1 0.154 0.250 0.192
Sm2 0.846 0.750 0.808
Hf1 0.266 0.750 0.542
Hf2 0.734 0.250 0.458
Zr1 0.361 0.250 0.856
Zr2 0.639 0.750 0.144
N1 0.054 0.250 0.650
N2 0.255 0.750 0.997
N3 0.465 0.750 0.355
N4 0.535 0.250 0.645
N5 0.745 0.250 0.003
N6 0.946 0.750 0.350

Computed properties:
N(E_F) = 0.28 states/eV/atom
Raw formation energy = -1577 meV/atom



Record 8
RbBa2RhO4 | GGA-PBE | optimized geometry

Unit cell a=7.164 b=7.164 c=12.975 alpha=90.00 beta=90.00 gamma=147.15
Fractional positions:
Rb1 0.083 0.917 0.750
Rb2 0.917 0.083 0.250
Ba1 0.372 0.628 0.550
Ba2 0.372 0.628 0.950
Ba3 0.628 0.372 0.050
Ba4 0.628 0.372 0.450
Rh1 0.228 0.772 0.250
Rh2 0.772 0.228 0.750
O1 0.000 0.000 0.000
O2 0.000 0.000 0.500
O3 0.249 0.751 0.105
O4 0.249 0.751 0.395
O5 0.308 0.692 0.750
O6 0.692 0.308 0.250
O7 0.751 0.249 0.605
O8 0.751 0.249 0.895

Computed properties:
N(E_F) = 0.10 states/eV/atom
Raw formation energy = -1653 meV/atom



| no. | total moment (μB/f.u.) |
| --- | --- |
| 1 | 0.55 |
| 2 | 0.00 |
| 3 | 0.06 |
| 4 | 0.74 |
| 5 | 0.00 |
| 6 | 0.00 |
| 7 | 0.00 |
| 8 | 2.03 |